# 1
Computed, not measured: a relaxed structure of AgSbS2Cl at the PBE level of DFT.

Calculated values
- Crystal system: tetragonal
- Formation energy from raw total energies: 812 meV/atom
- Total moment: 0.00 Bohr magnetons per cell

abc: 5.0390 5.0390 4.6780
angles: 90.00 90.00 90.00
Closest atoms and distances in Å follow each position.
Positions (direct):
Sb 0.5000 0.5000 0.5000  8 S 3.44, 4 Ag 3.56
S 0.0000 0.5000 0.0000  2 Cl 2.52
S 0.5000 0.0000 0.0000  2 Cl 2.52
Ag 0.0000 0.0000 0.5000  2 Cl 2.34
Cl 0.0000 0.0000 0.0000  2 Ag 2.34, 4 S 2.52

=====

# 2
Computed, not measured: a relaxed structure of AgSbS2Cl at the PBE level of DFT.

Calculated values
- Crystal system: tetragonal
- Formation energy from raw total energies: 389 meV/atom
- Total moment: 0.00 Bohr magnetons per cell

abc: 4.9259 4.9259 4.7189
angles: 90.00 90.00 90.00
Closest atoms and distances in Å follow each position.
Positions (direct):
Sb 0.5000 0.5000 0.5000  8 S 3.41, 4 Cl 3.48
S 0.0000 0.5000 0.0000  2 Ag 2.46
S 0.5000 0.0000 0.0000  2 Ag 2.46
Ag 0.0000 0.0000 0.0000  2 Cl 2.36, 4 S 2.46
Cl 0.0000 0.0000 0.5000  2 Ag 2.36

=====

# 3
Computed, not measured: a relaxed structure of AgSbS2Cl at the PBE level of DFT.

Calculated values
- Crystal system: monoclinic
- Formation energy from raw total energies: -229 meV/atom
- Total moment: 0.00 Bohr magnetons per cell

abc: 5.2197 6.3828 7.8678
angles: 98.55 90.00 90.00
Closest atoms and distances in Å follow each position.
Positions (direct):
Ag 0.2500 0.3579 0.1054  3 S 2.43-2.62, 1 Cl 2.48
Ag 0.7500 0.6421 0.8946  3 S 2.43-2.62, 1 Cl 2.48
Sb 0.2500 0.3127 0.6076  4 S 2.49-2.69
Sb 0.7500 0.6873 0.3924  4 S 2.49-2.69
S 0.7500 0.3805 0.5543  3 Sb 2.49-2.69
S 0.2500 0.6195 0.4457  3 Sb 2.49-2.69
S 0.7500 0.4020 0.1068  3 Ag 2.43-2.62, 1 Sb 2.67
S 0.2500 0.5980 0.8932  3 Ag 2.43-2.62, 1 Sb 2.67
Cl 0.2500 0.0531 0.2679  1 Ag 2.48
Cl 0.7500 0.9469 0.7321  1 Ag 2.48

=====

# 4
Computed, not measured: a relaxed structure of AgSbS2Cl at the PBE level of DFT.

Calculated values
- Crystal system: tetragonal
- Formation energy from raw total energies: 193 meV/atom
- Total moment: 0.00 Bohr magnetons per cell

abc: 5.0550 5.0550 5.2263
angles: 90.00 90.00 90.00
Closest atoms and distances in Å follow each position.
Positions (direct):
Sb 0.0000 0.0000 0.0000  4 S 2.53, 2 Cl 2.61
S 0.0000 0.5000 0.0000  2 Sb 2.53
S 0.5000 0.0000 0.0000  2 Sb 2.53
Ag 0.5000 0.5000 0.5000  4 Cl 3.57, 8 S 3.64
Cl 0.0000 0.0000 0.5000  2 Sb 2.61

=====

# 5
Computed, not measured: a relaxed structure of AgSbSCl2 at the PBE level of DFT.

Calculated values
- Crystal system: tetragonal
- Formation energy from raw total energies: -75 meV/atom
- Total moment: 0.00 Bohr magnetons per cell

abc: 5.2664 5.2664 5.1930
angles: 90.00 90.00 90.00
Closest atoms and distances in Å follow each position.
Positions (direct):
Sb 0.0000 0.0000 0.0000  2 S 2.60, 4 Cl 2.63
S 0.0000 0.0000 0.5000  2 Sb 2.60
Ag 0.5000 0.5000 0.5000  8 Cl 3.70, 4 S 3.72
Cl 0.0000 0.5000 0.0000  2 Sb 2.63
Cl 0.5000 0.0000 0.0000  2 Sb 2.63

=====

# 6
Computed, not measured: a relaxed structure of Ag2SbS2Cl at the PBE level of DFT.

Calculated values
- Crystal system: monoclinic
- Formation energy from raw total energies: -146 meV/atom
- Total moment: 0.00 Bohr magnetons per cell

abc: 6.8026 6.1695 6.7121
angles: 93.16 90.00 90.00
Closest atoms and distances in Å follow each position.
Positions (direct):
Ag 0.2500 0.0983 0.4406  1 Cl 2.58, 2 S 2.64, 1 Ag 2.85
Ag 0.2500 0.4860 0.6923  1 Cl 2.55, 2 S 2.66, 1 Sb 2.79, 1 Ag 2.85
Ag 0.7500 0.9017 0.5594  1 Cl 2.58, 2 S 2.64, 1 Ag 2.85
Ag 0.7500 0.5140 0.3077  1 Cl 2.55, 2 S 2.66, 1 Sb 2.79, 1 Ag 2.85
Sb 0.2500 0.0957 0.8822  4 S 2.56-2.62, 1 Ag 2.79
Sb 0.7500 0.9043 0.1178  4 S 2.56-2.62, 1 Ag 2.79
S 0.5000 0.2126 0.1640  2 Sb 2.56-2.62, 2 Ag 2.64-2.66
S 0.0000 0.2126 0.1640  2 Sb 2.56-2.62, 2 Ag 2.64-2.66
S 0.0000 0.7874 0.8360  2 Sb 2.56-2.62, 2 Ag 2.64-2.66
S 0.5000 0.7874 0.8360  2 Sb 2.56-2.62, 2 Ag 2.64-2.66
Cl 0.7500 0.3171 0.6315  2 Ag 2.55-2.58
Cl 0.2500 0.6829 0.3685  2 Ag 2.55-2.58

=====

# 7
Computed, not measured: a relaxed structure of AgSbSCl2 at the PBE level of DFT.

Calculated values
- Crystal system: tetragonal
- Formation energy from raw total energies: 203 meV/atom
- Total moment: 0.00 Bohr magnetons per cell

abc: 4.9057 4.9057 5.0147
angles: 90.00 90.00 90.00
Closest atoms and distances in Å follow each position.
Positions (direct):
Sb 0.5000 0.5000 0.5000  4 S 3.47, 8 Cl 3.51
S 0.0000 0.0000 0.5000  2 Ag 2.51
Ag 0.0000 0.0000 0.0000  4 Cl 2.45, 2 S 2.51
Cl 0.0000 0.5000 0.0000  2 Ag 2.45
Cl 0.5000 0.0000 0.0000  2 Ag 2.45

=====

# 8
Computed, not measured: a relaxed structure of ScAgSCl2 at the PBE level of DFT.

Calculated values
- Crystal system: tetragonal
- Formation energy from raw total energies: -1063 meV/atom
- Total moment: 0.00 Bohr magnetons per cell

abc: 4.9513 4.9513 5.0153
angles: 90.00 90.00 90.00
Closest atoms and distances in Å follow each position.
Positions (direct):
Sc 0.0000 0.0000 0.0000  4 Cl 2.48, 2 S 2.51
S 0.0000 0.0000 0.5000  2 Sc 2.51
Ag 0.5000 0.5000 0.5000  4 S 3.50, 8 Cl 3.52
Cl 0.0000 0.5000 0.0000  2 Sc 2.48
Cl 0.5000 0.0000 0.0000  2 Sc 2.48

=====

# 9
Computed, not measured: a relaxed structure of ScAgSCl2 at the PBE level of DFT.

Calculated values
- Crystal system: tetragonal
- Formation energy from raw total energies: -262 meV/atom
- Total moment: 0.77 Bohr magnetons per cell

abc: 4.9304 4.9304 4.9679
angles: 90.00 90.00 90.00
Closest atoms and distances in Å follow each position.
Positions (direct):
Sc 0.5000 0.5000 0.5000  4 S 3.49, 8 Cl 3.50
S 0.0000 0.0000 0.5000  2 Ag 2.48
Ag 0.0000 0.0000 0.0000  4 Cl 2.47, 2 S 2.48
Cl 0.0000 0.5000 0.0000  2 Ag 2.47
Cl 0.5000 0.0000 0.0000  2 Ag 2.47

=====

# 10
Computed, not measured: a relaxed structure of AgSeSCl2 at the PBE level of DFT.

Calculated values
- Crystal system: tetragonal
- Formation energy from raw total energies: 240 meV/atom
- Total moment: 0.00 Bohr magnetons per cell

abc: 4.9380 4.9380 4.9901
angles: 90.00 90.00 90.00
Closest atoms and distances in Å follow each position.
Positions (direct):
S 0.0000 0.0000 0.5000  2 Se 2.50
Se 0.0000 0.0000 0.0000  4 Cl 2.47, 2 S 2.50
Ag 0.5000 0.5000 0.5000  4 S 3.49, 8 Cl 3.51
Cl 0.0000 0.5000 0.0000  2 Se 2.47
Cl 0.5000 0.0000 0.0000  2 Se 2.47

=====

# 11
Computed, not measured: a relaxed structure of AgSeS2Cl at the PBE level of DFT.

Calculated values
- Crystal system: tetragonal
- Formation energy from raw total energies: 785 meV/atom
- Total moment: 0.00 Bohr magnetons per cell

abc: 4.8995 4.8995 4.7370
angles: 90.00 90.00 90.00
Closest atoms and distances in Å follow each position.
Positions (direct):
S 0.0000 0.5000 0.0000  2 Ag 2.45
S 0.5000 0.0000 0.0000  2 Ag 2.45
Se 0.5000 0.5000 0.5000  8 S 3.41, 4 Cl 3.46
Ag 0.0000 0.0000 0.0000  2 Cl 2.37, 4 S 2.45
Cl 0.0000 0.0000 0.5000  2 Ag 2.37

=====

# 12
Computed, not measured: a relaxed structure of Ag2Se2SCl2 at the PBE level of DFT.

Calculated values
- Crystal system: monoclinic
- Formation energy from raw total energies: -40 meV/atom
- Total moment: 0.00 Bohr magnetons per cell

abc: 4.4380 5.4269 9.2385
angles: 77.58 90.00 114.13
Closest atoms and distances in Å follow each position.
Positions (direct):
Ag 0.6549 0.3097 0.1621  1 Se 2.57, 3 Cl 2.66-2.67
Ag 0.3451 0.6903 0.8379  1 Se 2.57, 3 Cl 2.66-2.67
Se 0.5518 0.1035 0.6096  1 Se 2.48, 2 S 2.54, 1 Ag 2.57
Se 0.4482 0.8965 0.3904  1 Se 2.48, 2 S 2.54, 1 Ag 2.57
S 0.0000 0.0000 0.5000  4 Se 2.54
Cl 0.6918 0.3835 0.8678  3 Ag 2.66-2.67
Cl 0.3082 0.6165 0.1322  3 Ag 2.66-2.67

=====

# 13
Computed, not measured: a relaxed structure of AgSeSCl2 at the PBE level of DFT.

Calculated values
- Crystal system: tetragonal
- Formation energy from raw total energies: 519 meV/atom
- Total moment: 1.46 Bohr magnetons per cell

abc: 4.8120 4.8120 5.2467
angles: 90.00 90.00 90.00
Closest atoms and distances in Å follow each position.
Positions (direct):
S 0.0000 0.0000 0.5000  2 Ag 2.62
Se 0.5000 0.5000 0.5000  4 S 3.40, 8 Cl 3.56
Ag 0.0000 0.0000 0.0000  4 Cl 2.41, 2 S 2.62
Cl 0.0000 0.5000 0.0000  2 Ag 2.41
Cl 0.5000 0.0000 0.0000  2 Ag 2.41